A | A plane-wave DFT calculation with PBE was carried out for crystalline Pm2TlF at its relaxed geometry.

Structure (extended XYZ):
```
4
Lattice="1.908 1.102 7.786 -1.908 1.102 7.786 0.000 -2.204 7.786" Properties=species:S:1:pos:R:3 pbc="T T T"
Pm 0.000 0.000 5.326
Pm 0.000 0.000 18.032
Tl 0.000 0.000 0.000
F 0.000 0.000 11.679
```

**Symmetry**: R-3m (166)
**Total magnetization**: 0.000 μB per atom



B | A plane-wave DFT calculation with PBE was carried out for crystalline Pm2TlF at its relaxed geometry.

Structure (extended XYZ):
```
4
Lattice="3.409 0.000 0.000 0.000 3.409 0.000 0.000 0.000 8.061" Properties=species:S:1:pos:R:3 pbc="T T T"
Pm 0.000 0.000 1.831
Pm 0.000 0.000 6.230
Tl 1.704 1.704 4.030
F 1.704 1.704 0.000
```

**Symmetry**: P4/mmm (123)
**Total magnetization**: 0.000 μB per atom



Relative energies, in eV/atom, with the most stable structure set to zero: A 0.000; B 0.239.



A | A plane-wave DFT calculation with PBE was carried out for crystalline PmUF6 at its relaxed geometry.

Structure (extended XYZ):
```
8
Lattice="0.000 4.605 4.605 4.605 0.000 4.605 4.605 4.605 0.000" Properties=species:S:1:pos:R:3 pbc="T T T"
Pm 0.000 0.000 0.000
U 4.605 4.605 4.605
F 4.605 4.605 2.275
F 4.605 2.275 4.605
F 6.934 4.605 4.605
F 2.275 4.605 4.605
F 4.605 6.934 4.605
F 4.605 4.605 6.934
```

**Symmetry**: Fm-3m (225)
**Total magnetization**: 0.375 μB per atom



B | A plane-wave DFT calculation with PBE was carried out for crystalline PmUF6 at its relaxed geometry.

Structure (extended XYZ):
```
8
Lattice="2.940 -4.254 0.000 2.940 4.254 0.000 -1.083 0.000 5.849" Properties=species:S:1:pos:R:3 pbc="T T T"
Pm 0.000 0.000 0.000
U 2.398 0.000 2.924
F 1.096 1.366 1.496
F 0.733 0.000 4.511
F 1.096 -1.366 1.496
F 3.700 1.366 4.353
F 4.063 0.000 1.337
F 3.700 -1.366 4.353
```

**Symmetry**: C2/m (12)
**Total magnetization**: 0.375 μB per atom



Relative energies, in eV/atom, with the most stable structure set to zero: A 0.000; B 0.090.



A | A plane-wave DFT calculation with PBE was carried out for crystalline Pm2YF8 at its relaxed geometry.

Structure (extended XYZ):
```
11
Lattice="7.570 -1.872 0.000 7.570 1.872 0.000 -2.037 0.000 5.328" Properties=species:S:1:pos:R:3 pbc="T T T"
Pm 2.290 0.000 0.946
Pm 10.814 0.000 4.382
Y 6.552 0.000 2.664
F 0.043 0.000 1.536
F 1.689 0.000 4.406
F 3.812 0.000 2.876
F 6.019 0.000 0.342
F 7.085 0.000 4.985
F 9.292 0.000 2.451
F 11.415 0.000 0.922
F 13.061 0.000 3.791
```

**Symmetry**: C2/m (12)
**Total magnetization**: 0.091 μB per atom



B | A plane-wave DFT calculation with PBE was carried out for crystalline Pm2YF8 at its relaxed geometry.

Structure (extended XYZ):
```
11
Lattice="6.854 -2.021 0.000 6.854 2.021 0.000 -1.857 0.000 6.877" Properties=species:S:1:pos:R:3 pbc="T T T"
Pm 2.813 0.000 1.627
Pm 9.038 0.000 5.250
Y -0.928 0.000 3.438
F 0.562 0.000 1.792
F 2.130 0.000 4.069
F 2.421 0.000 6.642
F 4.840 0.000 2.824
F 7.012 0.000 4.053
F 9.430 0.000 0.235
F 9.721 0.000 2.808
F 11.289 0.000 5.084
```

**Symmetry**: C2/m (12)
**Total magnetization**: 0.091 μB per atom



Relative energies, in eV/atom, with the most stable structure set to zero: A 0.006; B 0.000.



A | A plane-wave DFT calculation with PBE was carried out for crystalline PmZnF at its relaxed geometry.

Structure (extended XYZ):
```
6
Lattice="3.386 0.000 0.000 0.000 3.386 0.000 0.000 0.000 9.195" Properties=species:S:1:pos:R:3 pbc="T T T"
Pm 0.846 0.846 1.836
Pm 2.539 2.539 7.359
Zn 0.846 0.846 5.272
Zn 2.539 2.539 3.923
F 0.846 0.846 8.559
F 2.539 2.539 0.636
```

**Symmetry**: P4/nmm (129)
**Total magnetization**: 0.000 μB per atom



B | A plane-wave DFT calculation with PBE was carried out for crystalline PmZnF at its relaxed geometry.

Structure (extended XYZ):
```
3
Lattice="-1.714 1.714 5.432 1.714 -1.714 5.432 1.714 1.714 -5.432" Properties=species:S:1:pos:R:3 pbc="T T T"
Pm 0.000 0.000 0.000
Zn 0.000 0.000 7.677
F 0.000 0.000 4.948
```

**Symmetry**: I4mm (107)
**Total magnetization**: 0.000 μB per atom



Relative energies, in eV/atom, with the most stable structure set to zero: A 0.000; B 0.321.



A | A plane-wave DFT calculation with PBE was carried out for crystalline Pr2RuF at its relaxed geometry.

Structure (extended XYZ):
```
4
Lattice="1.973 1.139 7.360 -1.973 1.139 7.360 0.000 -2.278 7.360" Properties=species:S:1:pos:R:3 pbc="T T T"
Pr 0.000 0.000 0.000
Pr 0.000 0.000 4.011
Ru 0.000 0.000 12.968
F 0.000 0.000 8.865
```

**Symmetry**: R3m (160)
**Total magnetization**: 0.000 μB per atom



B | A plane-wave DFT calculation with PBE was carried out for crystalline Pr2RuF at its relaxed geometry.

Structure (extended XYZ):
```
4
Lattice="2.017 1.164 6.677 -2.017 1.164 6.677 0.000 -2.329 6.677" Properties=species:S:1:pos:R:3 pbc="T T T"
Pr 0.000 0.000 4.957
Pr 0.000 0.000 15.075
Ru 0.000 0.000 10.016
F 0.000 0.000 0.000
```

**Symmetry**: R-3m (166)
**Total magnetization**: 0.000 μB per atom



Relative energies, in eV/atom, with the most stable structure set to zero: A 0.056; B 0.000.



A | A plane-wave DFT calculation with PBE was carried out for crystalline Pr2S2F at its relaxed geometry.

Structure (extended XYZ):
```
10
Lattice="1.979 -7.991 0.000 1.979 7.991 0.000 0.000 0.000 7.069" Properties=species:S:1:pos:R:3 pbc="T T T"
Pr 1.979 7.010 3.534
Pr 1.979 2.919 3.222
Pr 1.979 -2.919 6.756
Pr 1.979 -7.010 0.000
S 1.979 3.141 0.358
S 1.979 0.671 4.941
S 1.979 -0.671 1.406
S 1.979 -3.141 3.892
F 1.979 6.435 6.031
F 1.979 -6.435 2.496
```

**Symmetry**: Cmc2_1 (36)
**Total magnetization**: 0.000 μB per atom



B | A plane-wave DFT calculation with PBE was carried out for crystalline Pr2S2F at its relaxed geometry.

Structure (extended XYZ):
```
5
Lattice="3.778 0.000 0.000 0.000 3.778 0.000 0.000 0.000 11.752" Properties=species:S:1:pos:R:3 pbc="T T T"
Pr 0.000 0.000 2.311
Pr 0.000 0.000 9.441
S 0.000 0.000 4.893
S 0.000 0.000 6.858
F 0.000 0.000 0.000
```

**Symmetry**: P4/mmm (123)
**Total magnetization**: 0.056 μB per atom



Relative energies, in eV/atom, with the most stable structure set to zero: A 0.000; B 1.611.